(1)
# RbRh3C PBE optimized geometry
data_RbRh3C
_space_group_name_H-M_alt 'P m -3 m'
_space_group_IT_number 221
_space_group_name_Hall '-P 4 2 3'
_cell_length_a 4.278
_cell_length_b 4.278
_cell_length_c 4.278
_cell_angle_alpha 90.00
_cell_angle_beta 90.00
_cell_angle_gamma 90.00
loop_
_atom_site_label
_atom_site_type_symbol
_atom_site_fract_x
_atom_site_fract_y
_atom_site_fract_z
Rb1 Rb 0.000 0.000 0.000
Rh1 Rh 0.000 0.500 0.500
C1 C 0.500 0.500 0.500
# Mass density ... 8.61 g/cm3
# E ... -5.794 eV per atom
# Formation energy from the elements ... 63.2 kJ per mole of atoms
# Polymorph energy (0 for the lowest one) ... 0.0 meV per atom
# Volume ... 78 Å³/cell

(2)
# Ac4BeSi2Ge2 PBE optimized geometry
data_Ac4BeSi2Ge2
_space_group_name_H-M_alt 'C 1 2/m 1'
_space_group_IT_number 12
_cell_length_a 10.050
_cell_length_b 8.450
_cell_length_c 5.810
_cell_angle_alpha 90.00
_cell_angle_beta 91.85
_cell_angle_gamma 90.00
loop_
_space_group_symop_operation_xyz
'x,y,z'
'-x,-y,-z'
'-x,y,-z'
'x,-y,z'
'x+1/2,y+1/2,z'
'-x+1/2,-y+1/2,-z'
'-x+1/2,y+1/2,-z'
'x+1/2,-y+1/2,z'
loop_
_atom_site_label
_atom_site_type_symbol
_atom_site_fract_x
_atom_site_fract_y
_atom_site_fract_z
Ac1 Ac 0.133 0.218 0.260
Be1 Be 0.000 0.500 0.000
Si1 Si 0.082 0.500 0.658
Ge1 Ge 0.145 0.000 0.767
# Mass density ... 7.53 g/cm3
# Formation energy (no corrections) ... -0.3632 eV/atom
# E ... -4.834 eV per atom
# Volume ... 493 Å³/cell

(3)
# K2P3Pd6 PBE optimized geometry
data_K2P3Pd6
_space_group_name_H-M_alt 'P -6 2 m'
_space_group_IT_number 189
_space_group_name_Hall 'P -6 -2'
_cell_length_a 7.4037
_cell_length_b 7.4037
_cell_length_c 4.2961
_cell_angle_alpha 90.00
_cell_angle_beta 90.00
_cell_angle_gamma 120.00
loop_
_atom_site_label
_atom_site_type_symbol
_atom_site_fract_x
_atom_site_fract_y
_atom_site_fract_z
K1 K 0.3333 0.6667 0.0000
P1 P 0.0000 0.3557 0.5000
Pd1 Pd 0.0000 0.2129 0.0000
Pd2 Pd 0.0000 0.7024 0.5000
# Mass density ... 6.59 g/cm3
# E ... -4.862 eV per atom
# Formation energy from the elements ... -34.2 kJ per mole of atoms
# Volume ... 204 Å³/cell

(4)
# Ba2TeO2 PBE optimized geometry
data_Ba2TeO2
_space_group_name_H-M_alt 'P 4/m b m'
_space_group_IT_number 127
_space_group_name_Hall '-P 4 2ab'
_cell_length_a 7.866
_cell_length_b 7.866
_cell_length_c 3.805
_cell_angle_alpha 90.00
_cell_angle_beta 90.00
_cell_angle_gamma 90.00
loop_
_atom_site_label
_atom_site_type_symbol
_atom_site_fract_x
_atom_site_fract_y
_atom_site_fract_z
Ba1 Ba 0.164 0.336 0.000
Te1 Te 0.000 0.000 0.500
O1 O 0.165 0.665 0.500
# Mass density ... 6.13 g/cm3
# Formation energy (no corrections) ... -1.5786 eV/atom
# E ... -4.959 eV per atom
# Volume ... 235 Å³/cell

(5)
# KNi2Ir PBE optimized geometry
data_KNi2Ir
_space_group_name_H-M_alt 'R -3 m'
_space_group_IT_number 166
_space_group_name_Hall '-R 3 2"'
_cell_length_a 2.7522
_cell_length_b 2.7522
_cell_length_c 28.8322
_cell_angle_alpha 90.00
_cell_angle_beta 90.00
_cell_angle_gamma 120.00
loop_
_atom_site_label
_atom_site_type_symbol
_atom_site_fract_x
_atom_site_fract_y
_atom_site_fract_z
K1 K 0.0000 0.0000 0.0000
Ni1 Ni 0.0000 0.0000 0.2369
Ir1 Ir 0.0000 0.0000 0.5000
# Mass density ... 9.18 g/cm3
# E ... -4.717 eV per atom
# Formation energy from the elements ... 64.0 kJ per mole of atoms
# Polymorph energy (0 for the lowest one) ... 184.2 meV per atom
# Volume ... 189 Å³/cell

(6)
# Co6Ni2Ge PBE optimized geometry
data_Co6Ni2Ge
_space_group_name_H-M_alt 'C 1 2/m 1'
_space_group_IT_number 12
_cell_length_a 4.896
_cell_length_b 8.181
_cell_length_c 6.224
_cell_angle_alpha 90.00
_cell_angle_beta 99.59
_cell_angle_gamma 90.00
loop_
_space_group_symop_operation_xyz
'x,y,z'
'-x,-y,-z'
'-x,y,-z'
'x,-y,z'
'x+1/2,y+1/2,z'
'-x+1/2,-y+1/2,-z'
'-x+1/2,y+1/2,-z'
'x+1/2,-y+1/2,z'
loop_
_atom_site_label
_atom_site_type_symbol
_atom_site_fract_x
_atom_site_fract_y
_atom_site_fract_z
Co1 Co 0.043 0.000 0.306
Co2 Co 0.192 0.240 0.672
Ni1 Ni 0.000 0.194 0.000
Ge1 Ge 0.000 0.500 0.500
# Mass density ... 7.34 g/cm3
# E ... -6.138 eV per atom
# Formation energy from the elements ... 38.3 kJ per mole of atoms
# Volume ... 246 Å³/cell

(7)
# Ni5MoPt6 PBE optimized geometry
data_Ni5MoPt6
_space_group_name_H-M_alt 'C m m m'
_space_group_IT_number 65
_space_group_name_Hall '-C 2 2'
_cell_length_a 3.859
_cell_length_b 11.530
_cell_length_c 7.430
_cell_angle_alpha 90.00
_cell_angle_beta 90.00
_cell_angle_gamma 90.00
loop_
_atom_site_label
_atom_site_type_symbol
_atom_site_fract_x
_atom_site_fract_y
_atom_site_fract_z
Ni1 Ni 0.000 0.000 0.000
Ni2 Ni 0.000 0.336 0.000
Ni3 Ni 0.000 0.337 0.500
Mo1 Mo 0.000 0.000 0.500
Pt1 Pt 0.000 0.168 0.247
Pt2 Pt 0.000 0.500 0.250
# Mass density ... 15.67 g/cm3
# E ... -6.507 eV per atom
# Formation energy from the elements ... -16.9 kJ per mole of atoms
# Volume ... 331 Å³/cell

(8)
# CsBaDyI6 PBE optimized geometry
data_CsBaDyI6
_space_group_name_H-M_alt 'P -3 1 c'
_space_group_IT_number 163
_space_group_name_Hall '-P 3 2c'
_cell_length_a 8.5918
_cell_length_b 8.5918
_cell_length_c 16.3029
_cell_angle_alpha 90.00
_cell_angle_beta 90.00
_cell_angle_gamma 120.00
loop_
_atom_site_label
_atom_site_type_symbol
_atom_site_fract_x
_atom_site_fract_y
_atom_site_fract_z
Cs1 Cs 0.0000 0.0000 0.0000
Ba1 Ba 0.3333 0.6667 0.2500
Dy1 Dy 0.3333 0.6667 0.7500
I1 I 0.0372 0.3893 0.6397
# Mass density ... 3.81 g/cm3
# Formation energy (no corrections) ... -1.5673 eV/atom
# E ... -3.421 eV per atom
# Volume ... 1042 Å³/cell

(9)
# Y2Zn2Sb PBE optimized geometry
data_Y2Zn2Sb
_space_group_name_H-M_alt 'I 4/m m m'
_space_group_IT_number 139
_space_group_name_Hall '-I 4 2'
_cell_length_a 3.801
_cell_length_b 3.801
_cell_length_c 17.214
_cell_angle_alpha 90.00
_cell_angle_beta 90.00
_cell_angle_gamma 90.00
loop_
_atom_site_label
_atom_site_type_symbol
_atom_site_fract_x
_atom_site_fract_y
_atom_site_fract_z
Y1 Y 0.000 0.000 0.103
Zn1 Zn 0.000 0.500 0.250
Sb1 Sb 0.000 0.000 0.500
# Mass density ... 5.75 g/cm3
# Formation energy (no corrections) ... -0.3865 eV/atom
# E ... -4.306 eV per atom
# Polymorph energy (0 for the lowest one) ... 150.3 meV per atom
# Volume ... 249 Å³/cell

(10)
# Cs3PO4 PBE optimized geometry
data_Cs3PO4
_space_group_name_H-M_alt 'P n m a'
_space_group_IT_number 62
_cell_length_a 8.340
_cell_length_b 10.479
_cell_length_c 8.298
_cell_angle_alpha 90.00
_cell_angle_beta 90.00
_cell_angle_gamma 90.00
loop_
_space_group_symop_operation_xyz
'x,y,z'
'-x,-y,-z'
'-x+1/2,-y,z+1/2'
'x+1/2,y,-z+1/2'
'x+1/2,-y+1/2,-z+1/2'
'-x+1/2,y+1/2,z+1/2'
'-x,y+1/2,-z'
'x,-y+1/2,z'
loop_
_atom_site_label
_atom_site_type_symbol
_atom_site_fract_x
_atom_site_fract_y
_atom_site_fract_z
Cs1 Cs 0.024 0.043 0.228
Cs2 Cs 0.200 0.750 0.413
P1 P 0.234 0.750 0.992
O1 O 0.056 0.750 0.053
O2 O 0.179 0.127 0.555
O3 O 0.236 0.750 0.802
# Mass density ... 4.52 g/cm3
# Formation energy (no corrections) ... -2.1287 eV/atom
# E ... -5.604 eV per atom
# Polymorph energy (0 for the lowest one) ... 7.8 meV per atom
# Volume ... 725 Å³/cell

(11)
# Li2Ge2Pd3 PBE optimized geometry
data_Li2Ge2Pd3
_space_group_name_H-M_alt 'P -1'
_space_group_IT_number 2
_cell_length_a 4.305
_cell_length_b 4.323
_cell_length_c 7.076
_cell_angle_alpha 107.22
_cell_angle_beta 90.52
_cell_angle_gamma 119.59
loop_
_space_group_symop_operation_xyz
'x,y,z'
'-x,-y,-z'
loop_
_atom_site_label
_atom_site_type_symbol
_atom_site_fract_x
_atom_site_fract_y
_atom_site_fract_z
Li1 Li 0.135 0.270 0.405
Ge1 Ge 0.412 0.820 0.227
Pd1 Pd 0.000 0.000 0.000
Pd2 Pd 0.270 0.542 0.813
# Mass density ... 7.39 g/cm3
# E ... -4.611 eV per atom
# Formation energy from the elements ... -50.1 kJ per mole of atoms
# Volume ... 107 Å³/cell

(12)
# ZrReP PBE optimized geometry
data_ZrReP
_space_group_name_H-M_alt 'C 1 m 1'
_space_group_IT_number 8
_cell_length_a 9.774
_cell_length_b 3.388
_cell_length_c 6.288
_cell_angle_alpha 90.00
_cell_angle_beta 101.14
_cell_angle_gamma 90.00
loop_
_space_group_symop_operation_xyz
'x,y,z'
'x,-y,z'
'x+1/2,y+1/2,z'
'x+1/2,-y+1/2,z'
loop_
_atom_site_label
_atom_site_type_symbol
_atom_site_fract_x
_atom_site_fract_y
_atom_site_fract_z
Zr1 Zr 0.000 0.000 0.000
Zr2 Zr 0.228 0.000 0.691
Re1 Re 0.111 0.500 0.342
Re2 Re 0.399 0.500 0.425
P1 P 0.001 0.500 0.667
P2 P 0.240 0.500 0.058
# Mass density ... 10.03 g/cm3
# E ... -9.404 eV per atom
# Formation energy from the elements ... -58.1 kJ per mole of atoms
# Volume ... 204 Å³/cell

What is the formula in the eleventh record? Li2Ge2Pd3

Number 11 is which compound? Li2Ge2Pd3

Repeat the eleventh record exactly.
# Li2Ge2Pd3 PBE optimized geometry
data_Li2Ge2Pd3
_space_group_name_H-M_alt 'P -1'
_space_group_IT_number 2
_cell_length_a 4.305
_cell_length_b 4.323
_cell_length_c 7.076
_cell_angle_alpha 107.22
_cell_angle_beta 90.52
_cell_angle_gamma 119.59
loop_
_space_group_symop_operation_xyz
'x,y,z'
'-x,-y,-z'
loop_
_atom_site_label
_atom_site_type_symbol
_atom_site_fract_x
_atom_site_fract_y
_atom_site_fract_z
Li1 Li 0.135 0.270 0.405
Ge1 Ge 0.412 0.820 0.227
Pd1 Pd 0.000 0.000 0.000
Pd2 Pd 0.270 0.542 0.813
# Mass density ... 7.39 g/cm3
# E ... -4.611 eV per atom
# Formation energy from the elements ... -50.1 kJ per mole of atoms
# Volume ... 107 Å³/cell